1.
Here is crystalline Cu2SbW at its relaxed geometry from the Alexandria database. Energies are from PBE.

The space group is I-42d (No. 122) and the conventional cell measures 7.1351, 7.1351 and 5.2998 Å, with angles of 90.00, 90.00 and 90.00 degrees. The asymmetric unit holds Cu at (0.2466, 0.2500, 0.1250), Sb at (0.0000, 0.0000, 0.5000) and W at (0.0000, 0.0000, 0.0000).

For the density of states at the Fermi level, the calculation gives 0.74 states/eV per atom.

2.
Here is crystalline La3RuAu at its relaxed geometry from the Alexandria database. Energies are from PBE.

The space group is R3m (No. 160, hexagonal axes) and the conventional cell measures 9.5175, 9.5175 and 5.6045 Å, with angles of 90.00, 90.00 and 120.00 degrees. The asymmetric unit holds La at (0.1692, 0.3383, 0.0000), Ru at (0.0000, 0.0000, 0.1783) and Au at (0.0000, 0.0000, 0.6783).

For the density of states at the Fermi level, the calculation gives 0.91 states/eV per atom. The energy above the most stable polymorph in this dataset comes out at 34.8 kJ/mol of atoms. The formation energy from the elements comes out at -0.1265 eV per atom.

3.
Here is crystalline Sm4Y at its relaxed geometry from the Alexandria database. Energies are from PBE.

The space group is P2_1/c (No. 14) and the conventional cell measures 6.3532, 6.0903 and 9.5467 Å, with angles of 90.00, 114.00 and 90.00 degrees. The asymmetric unit holds Sm at (0.0930, 0.0704, 0.1975), Sm at (0.3004, 0.5407, 0.0980) and Y at (0.5000, 0.0000, 0.0000).

For the density of states at the Fermi level, the calculation gives 1.72 states/eV per atom. The energy above the most stable polymorph in this dataset comes out at 8.2 kJ/mol of atoms. The formation energy from the elements comes out at 0.0967 eV per atom.

4.
Here is crystalline Li5MgTl at its relaxed geometry from the Alexandria database. Energies are from PBE.

The space group is P4/mmm (No. 123) and the conventional cell measures 4.0416, 4.0416 and 9.0816 Å, with angles of 90.00, 90.00 and 90.00 degrees. The asymmetric unit holds Li at (0.0000, 0.0000, 0.0000), Li at (0.0000, 0.5000, 0.2432), Mg at (0.0000, 0.0000, 0.5000) and Tl at (0.5000, 0.5000, 0.0000).

For the density of states at the Fermi level, the calculation gives 0.37 states/eV per atom. The energy above the most stable polymorph in this dataset comes out at 0.4 kJ/mol of atoms. The formation energy from the elements comes out at -0.0466 eV per atom.

Values for VASP energy, eV per atom, ordered as above
-5.631 -5.594 -4.971 -1.980
Values for magnetic moment, μB per cell, ordered as above
0.000 0.000 0.000 0.000